Record 1
DFT (PBE) results for BaCaC2O6 after structural relaxation.

Values from the calculation:
Formation energy (no corrections): -217.0 kJ/mol of atoms
Energy above the most stable polymorph in this dataset: 9 meV/atom
Energy: -149.2 eV per cell

Lattice parameters (Å, degrees): 6.651 6.651 6.878 102.89 102.89 100.31
Element x y z (fractional)
Ba1 0.145 0.855 0.750
Ba2 0.855 0.145 0.250
Ca1 0.404 0.596 0.250
Ca2 0.596 0.404 0.750
C1 0.137 0.377 0.734
C2 0.377 0.137 0.234
C3 0.623 0.863 0.766
C4 0.863 0.623 0.266
O1 0.055 0.599 0.315
O2 0.192 0.220 0.625
O3 0.220 0.192 0.125
O4 0.284 0.518 0.885
O5 0.401 0.945 0.185
O6 0.482 0.716 0.615
O7 0.518 0.284 0.385
O8 0.599 0.055 0.815
O9 0.716 0.482 0.115
O10 0.780 0.808 0.875
O11 0.808 0.780 0.375
O12 0.945 0.401 0.685


Record 2
DFT (PBE) results for CaZrF2 after structural relaxation.

Values from the calculation:
Formation energy (no corrections): -124.5 kJ/mol of atoms
Energy above the most stable polymorph in this dataset: 1111 meV/atom
Energy: -19.5 eV per cell

Lattice parameters (Å, degrees): 4.619 4.619 4.619 60.00 60.00 60.00
Element x y z (fractional)
Ca1 0.000 0.000 0.000
Zr1 0.500 0.500 0.500
F1 0.250 0.250 0.250
F2 0.750 0.750 0.750


Record 3
DFT (PBE) results for ScIr2 after structural relaxation.

Values from the calculation:
Energy: -47.8 eV per cell
Formation energy: 0.2 eV/f.u.

Lattice parameters (Å, degrees): 5.109 5.109 5.109 106.22 106.22 116.19
Element x y z (fractional)
Sc1 0.250 0.250 0.000
Sc2 0.750 0.750 0.000
Ir1 0.145 0.645 0.790
Ir2 0.355 0.145 0.500
Ir3 0.645 0.855 0.500
Ir4 0.855 0.355 0.210


Record 4
DFT (PBE) results for DyGe4Pd5 after structural relaxation.

Values from the calculation:
Energy: -108.0 eV per cell
Formation energy: -5.0 eV/f.u.

Lattice parameters (Å, degrees): 7.548 8.521 5.519 90.00 90.00 90.00
Element x y z (fractional)
Dy1 0.250 0.250 0.022
Dy2 0.750 0.750 0.978
Ge1 0.080 0.250 0.522
Ge2 0.250 0.605 0.086
Ge3 0.250 0.895 0.086
Ge4 0.420 0.250 0.522
Ge5 0.580 0.750 0.478
Ge6 0.750 0.105 0.914
Ge7 0.750 0.395 0.914
Ge8 0.920 0.750 0.478
Pd1 0.036 0.515 0.749
Pd2 0.036 0.985 0.749
Pd3 0.250 0.750 0.530
Pd4 0.464 0.515 0.749
Pd5 0.464 0.985 0.749
Pd6 0.536 0.015 0.251
Pd7 0.536 0.485 0.251
Pd8 0.750 0.250 0.470
Pd9 0.964 0.015 0.251
Pd10 0.964 0.485 0.251


Record 5
DFT (PBE) results for CaFeTe2I after structural relaxation.

Values from the calculation:
Formation energy (no corrections): -27.8 kJ/mol of atoms
Energy above the most stable polymorph in this dataset: 0 meV/atom
Energy: -19.7 eV per cell

Lattice parameters (Å, degrees): 5.148 5.148 5.816 90.00 90.00 90.00
Element x y z (fractional)
Ca1 0.000 0.000 0.000
Fe1 0.500 0.500 0.500
Te1 0.000 0.500 0.500
Te2 0.500 0.000 0.500
I1 0.500 0.500 0.000


Record 6
DFT (PBE) results for YBiS2Cl after structural relaxation.

Values from the calculation:
Formation energy (no corrections): -24.7 kJ/mol of atoms
Energy above the most stable polymorph in this dataset: 564 meV/atom
Energy: -21.7 eV per cell

Lattice parameters (Å, degrees): 5.330 5.330 5.212 90.00 90.00 90.00
Element x y z (fractional)
Y1 0.000 0.000 0.000
Bi1 0.500 0.500 0.500
S1 0.000 0.500 0.500
S2 0.500 0.000 0.500
Cl1 0.500 0.500 0.000


Record 7
DFT (PBE) results for AlZn2Re after structural relaxation.

Values from the calculation:
Energy: -18.2 eV per cell
Formation energy: 0.5 eV/f.u.

Lattice parameters (Å, degrees): 4.845 4.845 2.736 90.00 90.00 114.07
Element x y z (fractional)
Al1 0.000 0.000 0.000
Zn1 0.000 0.500 0.500
Zn2 0.500 0.000 0.500
Re1 0.500 0.500 0.000


Record 8
DFT (PBE) results for YHo2Al2 after structural relaxation.

Values from the calculation:
Energy above the most stable polymorph in this dataset: 0 meV/atom
Energy: -49.5 eV per cell
Formation energy: -1.6 eV/f.u.

Lattice parameters (Å, degrees): 3.631 5.128 13.466 90.00 97.76 90.00
Element x y z (fractional)
Y1 0.144 0.250 0.290
Y2 0.856 0.750 0.710
Ho1 0.047 0.750 0.094
Ho2 0.233 0.750 0.467
Ho3 0.767 0.250 0.533
Ho4 0.953 0.250 0.906
Al1 0.360 0.250 0.718
Al2 0.451 0.750 0.902
Al3 0.549 0.250 0.098
Al4 0.640 0.750 0.282


Record 9
DFT (PBE) results for LaMg3Ge after structural relaxation.

Values from the calculation:
Energy above the most stable polymorph in this dataset: 1255 meV/atom
Energy: -7.4 eV per cell
Formation energy: 7.0 eV/f.u.

Lattice parameters (Å, degrees): 5.902 5.902 5.902 90.00 90.00 90.00
Element x y z (fractional)
La1 0.000 0.000 0.000
Mg1 0.000 0.000 0.500
Mg2 0.000 0.500 0.000
Mg3 0.500 0.000 0.000
Ge1 0.500 0.500 0.500


Record 10
DFT (PBE) results for AcSbRhO6 after structural relaxation.

Values from the calculation:
Formation energy (no corrections): -175.4 kJ/mol of atoms
Energy: -123.4 eV per cell

Lattice parameters (Å, degrees): 5.339 5.339 10.809 90.00 90.00 120.00
Element x y z (fractional)
Ac1 0.000 0.000 0.000
Ac2 0.000 0.000 0.500
Sb1 0.333 0.667 0.250
Sb2 0.667 0.333 0.750
Rh1 0.333 0.667 0.750
Rh2 0.667 0.333 0.250
O1 0.000 0.371 0.147
O2 0.000 0.371 0.647
O3 0.000 0.629 0.353
O4 0.000 0.629 0.853
O5 0.371 0.000 0.147
O6 0.371 0.000 0.647
O7 0.371 0.371 0.353
O8 0.371 0.371 0.853
O9 0.629 0.000 0.353
O10 0.629 0.000 0.853
O11 0.629 0.629 0.147
O12 0.629 0.629 0.647


Record 11
DFT (PBE) results for CaCdSi2 after structural relaxation.

Values from the calculation:
Formation energy (no corrections): -5.2 kJ/mol of atoms
Energy: -14.0 eV per cell

Lattice parameters (Å, degrees): 6.036 6.036 4.393 111.10 111.10 36.49
Element x y z (fractional)
Ca1 0.000 0.000 0.000
Cd1 0.224 0.224 0.723
Si1 0.399 0.399 0.401
Si2 0.747 0.747 0.244


Record 12
DFT (PBE) results for CaTiC2N after structural relaxation.

Values from the calculation:
Formation energy (no corrections): 58.9 kJ/mol of atoms
Energy: -33.6 eV per cell

Lattice parameters (Å, degrees): 4.080 4.080 3.999 90.00 90.00 90.00
Element x y z (fractional)
Ca1 0.000 0.000 0.000
Ti1 0.500 0.500 0.500
C1 0.000 0.500 0.500
C2 0.500 0.000 0.500
N1 0.500 0.500 0.000